## Ho2PaTcC4 (PBE-GGA)

Data for an optimized crystal structure of Ho2PaTcC4.

Output
The space group is No. 63. The calculation puts the calculated total energy at -132.87 eV/cell. The energy of formation comes out at -0.065 eV/atom. As for the calculated volume: 122.6 Å³/f.u.

Cell lengths 3.4426, 6.1459, 12.0762 Å; angles 90.00, 90.00, 106.26 degrees
Positions (direct):
Ho  0.3695  0.7391  0.5414
Ho  0.6305  0.2609  0.0414
Ho  0.6305  0.2609  0.4586
Ho  0.3695  0.7391  0.9586
Pa  0.0939  0.1878  0.7500
Pa  0.9061  0.8122  0.2500
Tc  0.8349  0.6698  0.7500
Tc  0.1651  0.3302  0.2500
C  0.2727  0.5454  0.1340
C  0.7273  0.4546  0.6340
C  0.7273  0.4546  0.8660
C  0.2727  0.5454  0.3660
C  0.0000  0.0000  0.5000
C  0.0000  0.0000  0.0000
C  0.4390  0.8780  0.7500
C  0.5610  0.1220  0.2500

## Pr3TlS (PBE-GGA)

Data for an optimized crystal structure of Pr3TlS.

Output
The calculation puts the formation energy (no corrections) at -964 meV/atom. The space group is No. 62. The calculation puts the calculated total energy at -102.61 eV/cell. As for the calculated volume: 151.8 Å³/f.u. The energy relative to the lowest polymorph listed for this composition is 0 meV per atom.

Cell lengths 4.1381, 9.3511, 15.6891 Å; angles 90.00, 90.00, 90.00 degrees
Each line ends with the local moment (μB).
Positions (direct):
Pr  0.2500  0.3370  0.5168  0.00
Pr  0.7500  0.8075  0.2099  0.06
Pr  0.7500  0.5237  0.8921  0.09
Pr  0.7500  0.0237  0.6079  0.09
Pr  0.7500  0.6630  0.4832  0.00
Pr  0.2500  0.9763  0.3921  0.09
Pr  0.2500  0.8370  0.9832  0.00
Pr  0.7500  0.3075  0.2901  0.06
Pr  0.2500  0.6925  0.7099  0.06
Pr  0.2500  0.1925  0.7901  0.06
Pr  0.7500  0.1630  0.0168  0.00
Pr  0.2500  0.4763  0.1079  0.09
Tl  0.7500  0.9124  0.8205  0.00
Tl  0.2500  0.0876  0.1795  0.00
Tl  0.7500  0.4124  0.6795  0.00
Tl  0.2500  0.5876  0.3205  0.00
S  0.2500  0.3338  0.9470  0.00
S  0.2500  0.8338  0.5530  0.00
S  0.7500  0.1662  0.4470  0.00
S  0.7500  0.6662  0.0530  0.00

## SrPrSb2O8 (PBE-GGA)

Data for an optimized crystal structure of SrPrSb2O8.

Output
The calculation puts the formation energy (no corrections) at -1966 meV/atom. The space group is No. 82. The calculation puts the calculated total energy at -77.96 eV/cell. As for the calculated volume: 176.5 Å³/f.u.

Cell lengths 5.4974, 5.4974, 7.0162 Å; angles 113.06, 113.06, 90.00 degrees
Each line ends with the local moment (μB).
Positions (direct):
Sr  0.7500  0.2500  0.5000  0.00
Pr  0.0000  0.0000  0.0000  -0.01
Sb  0.5000  0.5000  0.0000  -0.01
Sb  0.2500  0.7500  0.5000  -0.01
O  0.7647  0.8239  0.1707  0.12
O  0.4059  0.3468  0.1707  0.12
O  0.5822  0.6754  0.6802  0.12
O  0.0979  0.0048  0.6802  0.12
O  0.9952  0.4178  0.3198  0.12
O  0.3246  0.9021  0.3198  0.12
O  0.1761  0.5941  0.8293  0.12
O  0.6532  0.2353  0.8293  0.12

- Look up the calculated total energy of the first one.
  -132.87 eV/cell

- Which formula does entry 2 have?
  Pr3TlS